(1)
Below is an optimized crystal structure of NaHf3Cr, with properties calculated at the PBE level.

SG: Pm-3m (221)
VASP energy in eV per atom: -7.440
V in Å³ per atom: 23.99

POSCAR file:
```
NaHf3Cr
1.0
4.9318 0.0000 0.0000
0.0000 4.9318 0.0000
0.0000 0.0000 4.9318
Cr Hf Na
1 3 1
direct
0.0000 0.0000 0.0000
0.0000 0.5000 0.0000
0.0000 0.0000 0.5000
0.5000 0.0000 0.0000
0.5000 0.5000 0.5000
```


(2)
Below is an optimized crystal structure of NaHfCr2, with properties calculated at the PBE level.

SG: I-42d (122)
VASP energy in eV per atom: -6.302
V in Å³ per atom: 17.56

POSCAR file:
```
NaHfCr2
1.0
-1.3960 -0.1781 3.5746
1.6990 -3.4100 0.4937
7.9582 2.5685 5.3003
Cr Hf Na
4 2 2
direct
0.6900 0.1250 0.2500
0.0600 0.6250 0.2500
0.3750 0.3100 0.7500
0.8750 0.9400 0.7500
0.0000 0.0000 0.0000
0.7500 0.2500 0.5000
0.5000 0.5000 0.0000
0.2500 0.7500 0.5000
```


(3)
Below is an optimized crystal structure of NaHfNb2Cr, with properties calculated at the PBE level.

SG: P4/mmm (123)
VASP energy in eV per atom: -7.108
V in Å³ per atom: 20.82

POSCAR file:
```
NaHfNb2Cr
1.0
4.5751 0.0000 0.0000
0.0000 4.9743 0.0000
0.0000 0.0000 4.5751
Cr Nb Hf Na
1 2 1 1
direct
0.0000 0.0000 0.0000
0.0000 0.0000 0.5000
0.5000 0.0000 0.0000
0.5000 0.5000 0.5000
0.0000 0.5000 0.0000
```


Among the records above, which one has the highest VASP energy?
NaHfCr2